[1]
A plane-wave DFT calculation with PBE was carried out for a geometry-optimized GeRu structure.

Symmetry ... P2_13, No. 198
Total magnetic moment ... 0.000 μB per cell
Total energy ... -57.84 eV per cell

Cell lengths 4.8974, 4.8974, 4.8974 Å; angles 90.00, 90.00, 90.00 degrees
Sites, in units of the cell vectors:
Ge  0.0865  0.0865  0.0865
Ge  0.4135  0.9135  0.5865
Ge  0.5865  0.4135  0.9135
Ge  0.9135  0.5865  0.4135
Ru  0.1222  0.6222  0.8778
Ru  0.3778  0.3778  0.3778
Ru  0.6222  0.8778  0.1222
Ru  0.8778  0.1222  0.6222



[2]
A plane-wave DFT calculation with PBE was carried out for a geometry-optimized Ge3Ru2 structure.

Offset from the most stable computed form ... 3 meV/atom
Symmetry ... P-4c2, No. 116
Total magnetic moment ... 0.000 μB per cell
Total energy ... -136.65 eV per cell

Cell lengths 5.7836, 5.7836, 9.3553 Å; angles 90.00, 90.00, 90.00 degrees
Sites, in units of the cell vectors:
Ge  0.1510  0.2818  0.4149
Ge  0.1510  0.7182  0.9149
Ge  0.2818  0.1510  0.0851
Ge  0.2818  0.8490  0.5851
Ge  0.3268  0.3268  0.7500
Ge  0.3268  0.6732  0.2500
Ge  0.6732  0.3268  0.2500
Ge  0.6732  0.6732  0.7500
Ge  0.7182  0.1510  0.5851
Ge  0.7182  0.8490  0.0851
Ge  0.8490  0.2818  0.9149
Ge  0.8490  0.7182  0.4149
Ru  0.0000  0.0000  0.2500
Ru  0.0000  0.0000  0.7500
Ru  0.0000  0.5000  0.1240
Ru  0.0000  0.5000  0.6240
Ru  0.5000  0.0000  0.3760
Ru  0.5000  0.0000  0.8760
Ru  0.5000  0.5000  0.0000
Ru  0.5000  0.5000  0.5000



The following ΔE_f values (in eV per atom) correspond, in order, to the records above: -0.28 -0.35.